(1)
First-principles (SCAN) data for a PBEsol-optimized structure of ZnPPt5, as listed in Alexandria via LeMat-Bulk.

Summary:
Energy relative to the elements   -3.3 eV per formula unit
Total magnetic moment   0.00 μB per cell
Final energy   -54.03 eV/atom

Geometry as POSCAR:
```
ZnPPt5
1.0
-2.6793 -0.5403 -2.7426
1.4994 -3.4840 -0.7784
-4.1924 -2.8445 4.6561
Pt Zn P
5 1 1
Cartesian
-0.4685 -2.5685 0.9637 Pt
0.0000 0.0000 0.0000 Pt
-2.5578 -1.0967 -0.0184 Pt
-2.2246 -3.7600 2.9140 Pt
-4.3139 -2.2882 1.9319 Pt
-0.5900 -2.0121 -1.7605 Zn
-2.0962 -1.4223 2.3280 P
```



(2)
First-principles (SCAN) data for a PBEsol-optimized structure of ZnP2Pt, as listed in Alexandria via LeMat-Bulk.

Summary:
Energy relative to the elements   0.7 eV per formula unit
Total magnetic moment   0.00 μB per cell
Final energy   -25.96 eV/atom

Geometry as POSCAR:
```
ZnP2Pt
1.0
-1.1364 -0.7445 3.0878
-2.4959 -3.0231 -1.6475
3.7326 -1.8088 0.9376
Pt Zn P
1 1 2
Cartesian
-0.5682 -0.3723 1.5439 Pt
0.0501 -2.7882 1.1890 Zn
-1.2480 -1.5115 -0.8237 P
1.8663 -0.9044 0.4688 P
```



(3)
First-principles (SCAN) data for a PBEsol-optimized structure of Zn2PPt, as listed in Alexandria via LeMat-Bulk.

Summary:
Energy relative to the elements   -0.2 eV per formula unit
Total magnetic moment   0.00 μB per cell
Final energy   -26.95 eV/atom

Geometry as POSCAR:
```
Zn2PPt
1.0
3.8022 0.0000 0.0000
0.0000 3.8022 0.0000
-1.9011 -1.9011 3.9212
Pt Zn P
1 2 1
Cartesian
0.0000 1.9011 1.9606 Pt
0.0000 0.0000 0.0000 Zn
1.9011 0.0000 1.9606 Zn
1.9011 1.9011 0.0000 P
```



(4)
First-principles (SCAN) data for a PBEsol-optimized structure of Zr6PPt2, as listed in Alexandria via LeMat-Bulk.

Summary:
Energy relative to the elements   -9.0 eV per formula unit
Total magnetic moment   0.00 μB per cell
Final energy   -38.22 eV/atom

Geometry as POSCAR:
```
Zr6PPt2
1.0
-0.5392 1.3164 -3.4723
-4.7780 -5.3454 -1.2846
-2.2850 6.3418 2.7592
Pt Zr P
2 6 1
Cartesian
-4.2166 -0.7915 -1.6728 Pt
-3.3856 3.1043 -0.3249 Pt
-2.8860 -3.2288 -0.7759 Zr
-0.8592 2.2946 -1.0242 Zr
-5.5101 1.3975 -0.6421 Zr
-1.3802 3.8306 1.6666 Zr
-2.7968 0.3946 0.5839 Zr
-1.5025 -0.7211 -2.0676 Zr
0.0000 0.0000 0.0000 P
```



(5)
First-principles (SCAN) data for a PBEsol-optimized structure of ZrPPt, as listed in Alexandria via LeMat-Bulk.

Summary:
Energy relative to the elements   -2.6 eV per formula unit
Total magnetic moment   0.00 μB per cell
Final energy   -37.97 eV/atom

Geometry as POSCAR:
```
ZrPPt
1.0
4.2960 0.0000 0.0000
2.1480 3.7205 0.0000
2.1480 1.2402 3.5077
Pt Zr P
1 1 1
Cartesian
6.4441 3.7205 2.6308 Pt
0.0000 0.0000 0.0000 Zr
4.2960 2.4803 1.7538 P
```



(6)
First-principles (SCAN) data for a PBEsol-optimized structure of ZrP2Pt, as listed in Alexandria via LeMat-Bulk.

Summary:
Energy above the lowest structure with this stoichiometry   80.5 meV per atom
Energy relative to the elements   -3.0 eV per formula unit
Total magnetic moment   0.00 μB per cell
Final energy   -31.18 eV/atom

Geometry as POSCAR:
```
ZrP2Pt
1.0
-0.2852 -0.9322 3.1024
4.0919 -1.3301 -0.0235
1.2757 3.9017 1.2896
Pt Zr P
1 1 2
Cartesian
2.5412 0.8197 2.1843 Pt
-0.1426 -0.4661 1.5512 Zr
0.6378 1.9508 0.6448 P
2.0460 -0.6651 -0.0118 P
```



(7)
First-principles (SCAN) data for a PBEsol-optimized structure of Zr2PPt, as listed in Alexandria via LeMat-Bulk.

Summary:
Energy relative to the elements   -3.9 eV per formula unit
Total magnetic moment   0.00 μB per cell
Final energy   -36.47 eV/atom

Geometry as POSCAR:
```
Zr2PPt
1.0
-1.6155 0.5108 -2.3431
3.0144 -2.7698 -2.6821
-2.7183 -3.9412 1.0150
P Pt Zr
1 1 2
Cartesian
-0.6597 -3.1001 -2.0051 P
-0.8077 0.2554 -1.1716 Pt
1.5072 -1.3849 -1.3411 Zr
-1.3591 -1.9706 0.5075 Zr
```



(8)
First-principles (SCAN) data for a PBEsol-optimized structure of ZrP2Pt, as listed in Alexandria via LeMat-Bulk.

Summary:
Energy above the lowest structure with this stoichiometry   0.0 meV per atom
Energy relative to the elements   -3.3 eV per formula unit
Total magnetic moment   0.00 μB per cell
Final energy   -31.26 eV/atom

Geometry as POSCAR:
```
ZrP2Pt
1.0
-0.9259 3.3435 -0.1357
-0.7586 -0.3487 -3.4166
-4.0158 -2.7936 2.9871
Zr P Pt
1 2 1
Cartesian
-2.4485 -0.7265 -1.1925 Zr
-3.3081 0.9126 0.6413 P
-0.2462 -0.0657 0.0614 P
-4.5556 -1.2155 1.1355 Pt
```



(9)
First-principles (SCAN) data for a PBEsol-optimized structure of PuP, as listed in Alexandria via LeMat-Bulk.

Summary:
Energy relative to the elements   -2.0 eV per formula unit
Total magnetic moment   4.97 μB per cell
Final energy   -61.28 eV/atom

Geometry as POSCAR:
```
PuP
1.0
-3.5479 -0.1722 1.6577
-0.3621 -1.0977 3.7456
-1.0208 2.6286 2.7228
Pu P
1 1
Cartesian
0.0000 0.0000 0.0000 Pu
-2.4654 0.6794 4.0631 P
```



(10)
First-principles (SCAN) data for a PBEsol-optimized structure of Rb2P3, as listed in Alexandria via LeMat-Bulk.

Summary:
Energy relative to the elements   -2.7 eV per formula unit
Total magnetic moment   0.00 μB per cell
Final energy   -15.08 eV/atom

Geometry as POSCAR:
```
Rb2P3
1.0
-2.2653 -0.4062 -6.1096
-4.2972 -4.3078 2.3666
-1.3881 7.7684 3.2430
Rb P
4 6
Cartesian
-3.4673 2.5027 -2.3691 Rb
-2.8270 -1.4847 -3.7665 Rb
-3.7355 -3.2292 0.0235 Rb
-4.4833 0.5518 1.8691 Rb
-2.0701 5.9801 2.2563 P
-5.8852 3.2396 0.0804 P
-6.5592 1.4419 -0.9087 P
-2.0654 -0.1851 -0.5803 P
-1.3914 1.6126 0.4087 P
-5.8805 -2.9256 -2.7563 P
```



(11)
First-principles (SCAN) data for a PBEsol-optimized structure of Rb3P11, as listed in Alexandria via LeMat-Bulk.

Summary:
Energy relative to the elements   -5.3 eV per formula unit
Total magnetic moment   0.00 μB per cell
Final energy   -12.99 eV/atom

Geometry as POSCAR:
```
Rb3P11
1.0
10.6818 0.0000 0.0000
0.0000 10.4948 0.0000
0.0000 0.0000 14.4528
P Rb
44 12
Cartesian
4.3211 9.7842 3.0864 P
6.1590 9.2735 1.9632 P
0.0000 2.6237 6.7030 P
9.8256 8.5720 12.6046 P
8.7852 7.9937 10.6938 P
0.1751 5.1801 2.2570 P
8.7852 2.7464 3.7590 P
6.1970 8.5720 5.3782 P
5.3409 2.6237 13.9294 P
4.5228 6.4687 1.9632 P
0.8181 6.4687 9.1896 P
0.1751 10.4275 12.1958 P
10.5066 0.0673 2.2570 P
9.8636 4.0261 5.2632 P
5.3409 7.8711 0.5234 P
1.0198 9.7842 10.3128 P
6.3607 5.9580 3.0864 P
0.8181 1.2213 5.2632 P
4.3211 4.5368 11.3664 P
1.8965 7.7484 10.6938 P
0.8562 7.1702 12.6046 P
7.2374 7.9937 3.4674 P
6.3607 0.7106 11.3664 P
5.1657 10.4275 4.9694 P
0.8562 1.9228 1.8482 P
10.5066 5.3147 12.1958 P
6.1590 4.0261 12.4896 P
0.0000 7.8711 7.7498 P
9.8256 3.3246 1.8482 P
9.8636 9.2735 9.1896 P
5.5160 5.3147 4.9694 P
4.4847 1.9228 9.0746 P
1.8965 2.5010 3.7590 P
6.1970 3.3246 9.0746 P
3.4444 7.7484 3.4674 P
5.5160 0.0673 9.4834 P
7.2374 2.7464 10.9854 P
4.5228 1.2213 12.4896 P
4.4847 7.1702 5.3782 P
5.1657 5.1801 9.4834 P
9.6619 0.7106 4.1400 P
9.6619 5.9580 10.3128 P
3.4444 2.5010 10.9854 P
1.0198 4.5368 4.1400 P
0.0000 7.8711 4.3166 Rb
8.2449 0.7816 14.2757 Rb
2.9040 9.7132 7.4035 Rb
7.7777 0.7816 7.0493 Rb
2.4369 4.4658 14.2757 Rb
8.2449 6.0290 0.1771 Rb
5.3409 2.6237 2.9098 Rb
5.3409 7.8711 11.5430 Rb
7.7777 6.0290 7.4035 Rb
2.4369 9.7132 0.1771 Rb
2.9040 4.4658 7.0493 Rb
0.0000 2.6237 10.1362 Rb
```



(12)
First-principles (SCAN) data for a PBEsol-optimized structure of Rb3ReP, as listed in Alexandria via LeMat-Bulk.

Summary:
Energy relative to the elements   6.7 eV per formula unit
Total magnetic moment   5.00 μB per cell
Final energy   -27.40 eV/atom

Geometry as POSCAR:
```
Rb3ReP
1.0
-3.9677 0.7750 -4.9600
4.1184 -3.1126 -3.7809
-2.8707 -5.5367 1.4312
Re Rb P
1 3 1
Cartesian
-1.3600 -3.9372 -3.6548 Re
-1.9838 0.3875 -2.4800 Rb
-1.4353 -2.7684 0.7156 Rb
2.0592 -1.5563 -1.8904 Rb
0.0000 0.0000 0.0000 P
```